Hf5Al2Pd12: relaxed, PBE-GGA.

**DFT formation energy**: -0.474 eV/atom
**Raw total energy**: -6.77 eV/atom
**Magnetization**: 0.0000 μB per atom

Lattice parameters (Å, degrees): 15.4667 5.4464 9.0468 90.00 110.59 90.00
Space group C2/m (No. 12)
Symmetry-distinct sites (fractional):
Hf  0.0000  0.0000  0.0000 x2
Hf  0.1477  0.5000  0.3426 x4
Hf  0.1703  0.5000  0.8330 x4
Al  0.0000  0.2488  0.5000 x4
Pd  0.0106  0.5000  0.8606 x4
Pd  0.0785  0.0000  0.7648 x4
Pd  0.1667  0.2478  0.0928 x8
Pd  0.1869  0.2417  0.5987 x8

Ba7Fe6: relaxed, PBE-GGA.

**DFT formation energy**: 1.118 eV/atom
**Raw total energy**: -3.82 eV/atom
**Magnetization**: 0.9826 μB per atom

Lattice parameters (Å, degrees): 7.9223 7.9223 26.4746 90.00 90.00 120.00
Space group R-3m (No. 166, hexagonal axes)
Symmetry-distinct sites (fractional):
Ba  0.0000  0.0000  0.0000 x3
Ba  0.0270  0.5135  0.4272 x18
Fe  0.0000  0.0000  0.1487 x6
Fe  0.0000  0.0000  0.3708 x6
Fe  0.0000  0.0000  0.4526 x6

Li4Se: relaxed, PBE-GGA.

**Raw formation energy**: -0.49 eV/atom
**E above lowest polymorph**: 4.74 kJ/mol of atoms
**Raw total energy**: -2.72 eV/atom
**Magnetization**: 0.0000 μB per atom

Lattice parameters (Å, degrees): 5.9742 5.9742 5.9742 90.00 90.00 90.00
Space group Im-3m (No. 229)
Symmetry-distinct sites (fractional):
Li  0.2500  0.2500  0.2500 x8
Se  0.0000  0.0000  0.0000 x2

LaVN3: relaxed, PBE-GGA.

**Raw formation energy**: -0.89 eV/atom
**Raw total energy**: -8.69 eV/atom
**Magnetization**: 0.0011 μB per atom

Lattice parameters (Å, degrees): 5.5868 5.5868 6.7775 90.00 90.00 120.00
Space group R3m (No. 160, hexagonal axes)
Symmetry-distinct sites (fractional):
La  0.0000  0.0000  0.0000 x3
V  0.0000  0.0000  0.5127 x3
N  0.1670  0.3339  0.3058 x9

InRu2Cl2: relaxed, PBE-GGA.

**Raw formation energy**: 0.59 eV/atom
**E above lowest polymorph**: 10.30 kJ/mol of atoms
**Raw total energy**: -4.41 eV/atom
**Magnetization**: 0.2000 μB per atom

Lattice parameters (Å, degrees): 8.1458 8.1458 3.0785 90.00 90.00 90.00
Space group P4/mbm (No. 127)
Symmetry-distinct sites (fractional):
In  0.0000  0.0000  0.0000 x2
Ru  0.0972  0.4028  0.0000 x4
Cl  0.2394  0.7394  0.5000 x4

Ho3Ni3Ge: relaxed, PBE-GGA.

**DFT formation energy**: -0.562 eV/atom
**Raw total energy**: -5.66 eV/atom
**Magnetization**: 0.0000 μB per atom

Lattice parameters (Å, degrees): 10.2322 4.0186 13.8471 90.00 110.10 90.00
Space group C2/m (No. 12)
Symmetry-distinct sites (fractional):
Ho  0.0288  0.0000  0.3858 x4
Ho  0.1067  0.0000  0.9242 x4
Ho  0.2455  0.0000  0.2270 x4
Ni  0.0377  0.5000  0.2289 x4
Ni  0.1052  0.5000  0.0758 x4
Ni  0.1350  0.5000  0.5415 x4
Ge  0.2411  0.5000  0.3934 x4

PrSc3Al8: relaxed, PBE-GGA.

**E above lowest polymorph**: 0.59 kJ/mol of atoms
**DFT formation energy**: -0.459 eV/atom
**Raw total energy**: -4.93 eV/atom
**Magnetization**: 0.0000 μB per atom

Lattice parameters (Å, degrees): 5.4455 5.4455 8.9602 90.00 90.00 120.00
Space group P3m1 (No. 156)
Symmetry-distinct sites (fractional):
Pr  0.0000  0.0000  0.0000 x1
Sc  0.0000  0.0000  0.3677 x1
Sc  0.6667  0.3333  0.4994 x1
Sc  0.6667  0.3333  0.8570 x1
Al  0.1622  0.3243  0.6768 x3
Al  0.3333  0.6667  0.4364 x1
Al  0.3333  0.6667  0.9306 x1
Al  0.5044  0.0089  0.1926 x3

Ni2BOs: relaxed, PBE-GGA.

**DFT formation energy**: 0.535 eV/atom
**Raw total energy**: -6.83 eV/atom
**Magnetization**: 0.0000 μB per atom

Lattice parameters (Å, degrees): 3.1880 3.1880 17.6675 90.00 90.00 90.00
Space group I-42d (No. 122)
Symmetry-distinct sites (fractional):
Ni  0.2436  0.2500  0.1250 x8
B  0.0000  0.0000  0.0000 x4
Os  0.0000  0.0000  0.5000 x4

Tb3Th3Tl2Tc: relaxed, PBE-GGA.

**DFT formation energy**: -0.231 eV/atom
**Raw total energy**: -5.92 eV/atom
**Magnetization**: 0.0000 μB per atom

Lattice parameters (Å, degrees): 8.7894 8.7894 3.8603 90.00 90.00 120.00
Space group P-62m (No. 189)
Symmetry-distinct sites (fractional):
Tb  0.0000  0.3966  0.0000 x3
Th  0.0000  0.7570  0.5000 x3
Tl  0.3333  0.6667  0.5000 x2
Tc  0.0000  0.0000  0.0000 x1

Er5Hf3N8: relaxed, PBE-GGA.

**Raw formation energy**: -1.83 eV/atom
**Raw total energy**: -9.28 eV/atom
**Magnetization**: 0.0000 μB per atom

Lattice parameters (Å, degrees): 6.6468 6.6468 16.3887 90.00 90.00 120.00
Space group R-3m (No. 166, hexagonal axes)
Symmetry-distinct sites (fractional):
Er  0.0000  0.0000  0.0000 x3
Er  0.0000  0.0000  0.5000 x3
Er  0.0000  0.5000  0.0000 x9
Hf  0.0000  0.5000  0.5000 x9
N  0.0000  0.0000  0.2433 x6
N  0.0102  0.5051  0.7551 x18

Pm3Dy6Sc: relaxed, PBE-GGA.

**E above lowest polymorph**: 0.00 kJ/mol of atoms
**DFT formation energy**: 0.146 eV/atom
**Raw total energy**: -4.67 eV/atom
**Magnetization**: 0.0000 μB per atom

Lattice parameters (Å, degrees): 10.8939 18.8777 6.2547 90.00 90.00 90.00
Space group Cmc2_1 (No. 36)
Symmetry-distinct sites (fractional):
Pm  0.0000  0.1129  0.0000 x4
Pm  0.1683  0.3868  0.3865 x8
Dy  0.0000  0.2235  0.5690 x4
Dy  0.0000  0.4546  0.8330 x4
Dy  0.1658  0.0455  0.4776 x8
Dy  0.2448  0.2098  0.2973 x8
Sc  0.0000  0.2980  0.0573 x4

MgV2Cl: relaxed, PBE-GGA.

**Raw formation energy**: 0.65 eV/atom
**E above lowest polymorph**: 0.00 kJ/mol of atoms
**Raw total energy**: -4.77 eV/atom
**Magnetization**: 0.0001 μB per atom

Lattice parameters (Å, degrees): 4.0378 4.0378 17.7378 90.00 90.00 90.00
Space group I-42d (No. 122)
Symmetry-distinct sites (fractional):
Mg  0.0000  0.0000  0.0000 x4
V  0.1093  0.2500  0.6250 x8
Cl  0.0000  0.0000  0.5000 x4

Question: What is the raw total energy in the third record?
Answer: -2.72 eV/atom